# 1
The following is a PBE calculation of a geometry-optimized LiCdInCo2 structure, from the Alexandria database.

Structure (CIF):
```
data_LiCdInCo2
_symmetry_space_group_name_H-M 'P 1'
_symmetry_Int_Tables_number 1
_symmetry_space_group_name_Hall 'P 1'
_cell_length_a 4.185
_cell_length_b 4.185
_cell_length_c 4.486
_cell_angle_alpha 90.00
_cell_angle_beta 90.00
_cell_angle_gamma 90.00
loop_
_atom_site_label
_atom_site_fract_x
_atom_site_fract_y
_atom_site_fract_z
Li1 0.000 0.000 0.000
Cd1 0.500 0.500 0.500
In1 0.000 0.000 0.500
Co1 0.000 0.500 0.000
Co2 0.500 0.000 0.000
```

Summary:
crystal system: tetragonal
N(E_F): 6.72 states/eV per cell
total magnetic moment: 0.4446 μB/atom
calculated formation energy: 3.917 eV per formula unit

---

# 2
The following is a PBE calculation of a geometry-optimized CaMgSi2 structure, from the Alexandria database.

Structure (CIF):
```
data_CaMgSi2
_symmetry_space_group_name_H-M 'P 1'
_symmetry_Int_Tables_number 1
_symmetry_space_group_name_Hall 'P 1'
_cell_length_a 8.813
_cell_length_b 8.813
_cell_length_c 8.813
_cell_angle_alpha 22.50
_cell_angle_beta 22.50
_cell_angle_gamma 22.50
loop_
_atom_site_label
_atom_site_fract_x
_atom_site_fract_y
_atom_site_fract_z
Ca1 0.000 0.000 0.000
Mg1 0.500 0.500 0.500
Si1 0.244 0.244 0.244
Si2 0.756 0.756 0.756
```

Summary:
crystal system: trigonal
N(E_F): 3.05 states/eV per cell
total magnetic moment: 0.0000 μB/atom
formation energy without anion corrections: 0.13 eV/atom

---

# 3
The following is a PBE calculation of a geometry-optimized Ac3Tb2PmSe6 structure, from the Alexandria database.

Structure (CIF):
```
data_Ac3Tb2PmSe6
_symmetry_space_group_name_H-M 'P 1'
_symmetry_Int_Tables_number 1
_symmetry_space_group_name_Hall 'P 1'
_cell_length_a 7.328
_cell_length_b 7.328
_cell_length_c 7.649
_cell_angle_alpha 99.20
_cell_angle_beta 99.20
_cell_angle_gamma 120.17
loop_
_atom_site_label
_atom_site_fract_x
_atom_site_fract_y
_atom_site_fract_z
Ac1 0.000 0.000 0.000
Ac2 0.336 0.664 0.000
Ac3 0.664 0.336 0.000
Tb1 0.167 0.833 0.500
Tb2 0.833 0.167 0.500
Pm1 0.500 0.500 0.500
Se1 0.086 0.425 0.274
Se2 0.235 0.235 0.723
Se3 0.425 0.086 0.274
Se4 0.575 0.914 0.726
Se5 0.765 0.765 0.277
Se6 0.914 0.575 0.726
```

Summary:
crystal system: monoclinic
N(E_F): 5.48 states/eV per cell
total magnetic moment: 0.0000 μB/atom
formation energy without anion corrections: -1.82 eV/atom

---

# 4
The following is a PBE calculation of a geometry-optimized La2TeSe2 structure, from the Alexandria database.

Structure (CIF):
```
data_La2TeSe2
_symmetry_space_group_name_H-M 'P 1'
_symmetry_Int_Tables_number 1
_symmetry_space_group_name_Hall 'P 1'
_cell_length_a 8.115
_cell_length_b 8.115
_cell_length_c 8.115
_cell_angle_alpha 147.44
_cell_angle_beta 137.63
_cell_angle_gamma 54.44
loop_
_atom_site_label
_atom_site_fract_x
_atom_site_fract_y
_atom_site_fract_z
La1 0.161 0.161 0.000
La2 0.839 0.839 0.000
Te1 0.000 0.500 0.500
Se1 0.296 0.796 0.500
Se2 0.704 0.204 0.500
```

Summary:
E above lowest polymorph: 0.0 meV/atom
crystal system: orthorhombic
N(E_F): 0.00 states/eV per cell
total magnetic moment: 0.0000 μB/atom
formation energy without anion corrections: -1.86 eV/atom

---

# 5
The following is a PBE calculation of a geometry-optimized Ac2PmUSe6 structure, from the Alexandria database.

Structure (CIF):
```
data_Ac2PmUSe6
_symmetry_space_group_name_H-M 'P 1'
_symmetry_Int_Tables_number 1
_symmetry_space_group_name_Hall 'P 1'
_cell_length_a 7.649
_cell_length_b 7.659
_cell_length_c 7.986
_cell_angle_alpha 90.15
_cell_angle_beta 118.54
_cell_angle_gamma 119.84
loop_
_atom_site_label
_atom_site_fract_x
_atom_site_fract_y
_atom_site_fract_z
Ac1 0.000 0.000 0.000
Ac2 0.004 0.500 0.503
Pm1 0.418 0.706 0.123
U1 0.414 0.204 0.619
Se1 0.255 0.832 0.334
Se2 0.258 0.923 0.835
Se3 0.501 0.418 0.334
Se4 0.502 0.577 0.832
Se5 0.912 0.333 0.833
Se6 0.915 0.078 0.335
```

Summary:
crystal system: triclinic
N(E_F): 7.94 states/eV per cell
total magnetic moment: 0.3026 μB/atom
formation energy without anion corrections: -1.68 eV/atom

---

# 6
The following is a PBE calculation of a geometry-optimized BePt3 structure, from the Alexandria database.

Structure (CIF):
```
data_BePt3
_symmetry_space_group_name_H-M 'P 1'
_symmetry_Int_Tables_number 1
_symmetry_space_group_name_Hall 'P 1'
_cell_length_a 4.473
_cell_length_b 5.495
_cell_length_c 4.666
_cell_angle_alpha 90.00
_cell_angle_beta 90.00
_cell_angle_gamma 90.00
loop_
_atom_site_label
_atom_site_fract_x
_atom_site_fract_y
_atom_site_fract_z
Be1 0.250 0.250 0.159
Be2 0.750 0.750 0.841
Pt1 0.250 0.008 0.665
Pt2 0.250 0.492 0.665
Pt3 0.250 0.750 0.155
Pt4 0.750 0.250 0.845
Pt5 0.750 0.508 0.335
Pt6 0.750 0.992 0.335
```

Summary:
crystal system: orthorhombic
N(E_F): 8.71 states/eV per cell
total magnetic moment: 0.0000 μB/atom
calculated formation energy: -0.783 eV per formula unit